Run one
The following is a PBE calculation of a relaxed structure of ReRuRh, from the Alexandria database.

Magnetic moment in μB/f.u.: 0.000
Space group: Imm2, No. 44

Cell: 4.7235 4.7235 4.7235 Å, 146.69 131.47 60.13°
With the nearest neighbours (Å) after each atom.
Positions (direct):
Re  0.0000  0.0000  0.0000  5 Rh 2.70-2.74, 2 Re 2.71, 5 Ru 2.71-2.77
Ru  0.3385  0.3385  0.0000  5 Rh 2.70-2.74, 2 Ru 2.71, 5 Re 2.71-2.77
Rh  0.6694  0.6694  0.0000  5 Re 2.70-2.74, 5 Ru 2.70-2.74, 2 Rh 2.71

---

Run two
The following is a PBE calculation of a relaxed structure of ReRuRh, from the Alexandria database.

Magnetic moment in μB/f.u.: 0.000
Space group: F-43m, No. 216

Cell: 4.1569 4.1569 4.1569 Å, 60.00 60.00 60.00°
With the nearest neighbours (Å) after each atom.
Positions (direct):
Re  0.0000  0.0000  0.0000  4 Ru 2.55, 4 Rh 2.55
Ru  0.2500  0.2500  0.2500  4 Re 2.55
Rh  0.7500  0.7500  0.7500  4 Re 2.55

---

Run three
The following is a PBE calculation of a relaxed structure of ReRuRh, from the Alexandria database.

Magnetic moment in μB/f.u.: 0.001
Space group: I4mm, No. 107

Cell: 4.7660 4.7660 4.7660 Å, 140.17 140.17 57.59°
With the nearest neighbours (Å) after each atom.
Positions (direct):
Re  0.0000  0.0000  0.0000  5 Ru 2.65-2.86, 5 Rh 2.68-2.79
Ru  0.3427  0.3427  0.0000  5 Re 2.65-2.86, 5 Rh 2.71-2.73
Rh  0.6665  0.6665  0.0000  5 Re 2.68-2.79, 5 Ru 2.71-2.73

---

Which is most stable? The ranking, best first, is run one, run three, run two.